Entry 1:
Rb2TiBCl6 | GGA-PBE | relaxed

## Properties
Total energy: -38.83 eV for the cell shown
Magnetization: 0.100 μB/atom
SG: Fm-3m, No. 225

CIF file:
```
data_Rb2TiBCl6
_chemical_formula_sum 'Rb2 Ti1 B1 Cl6'
_cell_length_a 7.1767
_cell_length_b 7.1767
_cell_length_c 7.1767
_cell_angle_alpha 60.00
_cell_angle_beta 60.00
_cell_angle_gamma 60.00
_symmetry_space_group_name_H-M 'P 1'
_symmetry_Int_Tables_number 1
loop_
_symmetry_equiv_pos_as_xyz
'x,y,z'
loop_
_atom_site_label
_atom_site_fract_x
_atom_site_fract_y
_atom_site_fract_z
Rb1 0.2500 0.2500 0.2500
Rb2 0.7500 0.7500 0.7500
Ti1 0.0000 0.0000 0.0000
B1 0.5000 0.5000 0.5000
Cl1 0.2407 0.2407 0.7593
Cl2 0.2407 0.7593 0.2407
Cl3 0.2407 0.7593 0.7593
Cl4 0.7593 0.2407 0.2407
Cl5 0.7593 0.2407 0.7593
Cl6 0.7593 0.7593 0.2407
```

Entry 2:
RbTlB2Cl8 | GGA-PBE | relaxed

## Properties
Total energy: -45.35 eV for the cell shown
Magnetization: 0.000 μB/atom
SG: P-3, No. 147

CIF file:
```
data_RbTlB2Cl8
_chemical_formula_sum 'Rb1 Tl1 B2 Cl8'
_cell_length_a 6.2906
_cell_length_b 6.2906
_cell_length_c 10.5200
_cell_angle_alpha 90.00
_cell_angle_beta 90.00
_cell_angle_gamma 120.00
_symmetry_space_group_name_H-M 'P 1'
_symmetry_Int_Tables_number 1
loop_
_symmetry_equiv_pos_as_xyz
'x,y,z'
loop_
_atom_site_label
_atom_site_fract_x
_atom_site_fract_y
_atom_site_fract_z
Rb1 0.0000 0.0000 0.0000
Tl1 0.0000 0.0000 0.5000
B1 0.3333 0.6667 0.2833
B2 0.6667 0.3333 0.7167
Cl1 0.0439 0.3959 0.2258
Cl2 0.3333 0.6667 0.4602
Cl3 0.3520 0.9561 0.2258
Cl4 0.3959 0.3520 0.7742
Cl5 0.6041 0.6480 0.2258
Cl6 0.6480 0.0439 0.7742
Cl7 0.6667 0.3333 0.5398
Cl8 0.9561 0.6041 0.7742
```

Entry 3:
Rb2BWCl6 | GGA-PBE | relaxed

## Properties
Total energy: -39.96 eV for the cell shown
Magnetization: 0.300 μB/atom
SG: I4/mmm, No. 139

CIF file:
```
data_Rb2BWCl6
_chemical_formula_sum 'Rb2 B1 W1 Cl6'
_cell_length_a 7.2048
_cell_length_b 7.2048
_cell_length_c 7.2048
_cell_angle_alpha 119.86
_cell_angle_beta 119.86
_cell_angle_gamma 90.24
_symmetry_space_group_name_H-M 'P 1'
_symmetry_Int_Tables_number 1
loop_
_symmetry_equiv_pos_as_xyz
'x,y,z'
loop_
_atom_site_label
_atom_site_fract_x
_atom_site_fract_y
_atom_site_fract_z
Rb1 0.2500 0.7500 0.5000
Rb2 0.7500 0.2500 0.5000
B1 0.0000 0.0000 0.0000
W1 0.5000 0.5000 0.0000
Cl1 0.2579 0.2579 0.0000
Cl2 0.2589 0.2589 0.5178
Cl3 0.2589 0.7411 0.0000
Cl4 0.7411 0.2589 0.0000
Cl5 0.7411 0.7411 0.4822
Cl6 0.7421 0.7421 0.0000
```

Entry 4:
ReB2Cl | GGA-PBE | relaxed

## Properties
Total energy: -46.88 eV for the cell shown
Magnetization: 0.000 μB/atom
SG: I-42d, No. 122

CIF file:
```
data_ReB2Cl
_chemical_formula_sum 'Re2 B4 Cl2'
_cell_length_a 6.0790
_cell_length_b 6.0790
_cell_length_c 6.0790
_cell_angle_alpha 129.35
_cell_angle_beta 129.35
_cell_angle_gamma 74.44
_symmetry_space_group_name_H-M 'P 1'
_symmetry_Int_Tables_number 1
loop_
_symmetry_equiv_pos_as_xyz
'x,y,z'
loop_
_atom_site_label
_atom_site_fract_x
_atom_site_fract_y
_atom_site_fract_z
Re1 0.0000 0.0000 0.0000
Re2 0.7500 0.2500 0.5000
B1 0.0663 0.6250 0.9413
B2 0.3750 0.3163 0.4413
B3 0.6837 0.1250 0.0587
B4 0.8750 0.9337 0.5587
Cl1 0.2500 0.7500 0.5000
Cl2 0.5000 0.5000 0.0000
```

Entry 5:
Re3BCl | GGA-PBE | relaxed

## Properties
Offset from the most stable computed form: 0.0 kJ/mol of formula units
Total energy: -39.41 eV for the cell shown
Magnetization: 0.000 μB/atom
SG: Pm-3m, No. 221

CIF file:
```
data_Re3BCl
_chemical_formula_sum 'Re3 B1 Cl1'
_cell_length_a 4.1896
_cell_length_b 4.1896
_cell_length_c 4.1896
_cell_angle_alpha 90.00
_cell_angle_beta 90.00
_cell_angle_gamma 90.00
_symmetry_space_group_name_H-M 'P 1'
_symmetry_Int_Tables_number 1
loop_
_symmetry_equiv_pos_as_xyz
'x,y,z'
loop_
_atom_site_label
_atom_site_fract_x
_atom_site_fract_y
_atom_site_fract_z
Re1 0.0000 0.0000 0.5000
Re2 0.0000 0.5000 0.0000
Re3 0.5000 0.0000 0.0000
B1 0.0000 0.0000 0.0000
Cl1 0.5000 0.5000 0.5000
```

Entry 6:
ReBS2Cl | GGA-PBE | relaxed

## Properties
Offset from the most stable computed form: 101.4 kJ/mol of formula units
Total energy: -23.06 eV for the cell shown
Magnetization: 0.000 μB/atom
SG: P4/mmm, No. 123

CIF file:
```
data_ReBS2Cl
_chemical_formula_sum 'Re1 B1 S2 Cl1'
_cell_length_a 4.1116
_cell_length_b 4.1116
_cell_length_c 4.0495
_cell_angle_alpha 90.00
_cell_angle_beta 90.00
_cell_angle_gamma 90.00
_symmetry_space_group_name_H-M 'P 1'
_symmetry_Int_Tables_number 1
loop_
_symmetry_equiv_pos_as_xyz
'x,y,z'
loop_
_atom_site_label
_atom_site_fract_x
_atom_site_fract_y
_atom_site_fract_z
Re1 0.0000 0.0000 0.0000
B1 0.5000 0.5000 0.5000
S1 0.0000 0.5000 0.5000
S2 0.5000 0.0000 0.5000
Cl1 0.5000 0.5000 0.0000
```

Entry 7:
ReBS2Cl | GGA-PBE | relaxed

## Properties
Offset from the most stable computed form: 0.0 kJ/mol of formula units
Total energy: -24.11 eV for the cell shown
Magnetization: 0.000 μB/atom
SG: P4/mmm, No. 123

CIF file:
```
data_ReBS2Cl
_chemical_formula_sum 'Re1 B1 S2 Cl1'
_cell_length_a 4.5365
_cell_length_b 4.5365
_cell_length_c 5.1424
_cell_angle_alpha 90.00
_cell_angle_beta 90.00
_cell_angle_gamma 90.00
_symmetry_space_group_name_H-M 'P 1'
_symmetry_Int_Tables_number 1
loop_
_symmetry_equiv_pos_as_xyz
'x,y,z'
loop_
_atom_site_label
_atom_site_fract_x
_atom_site_fract_y
_atom_site_fract_z
Re1 0.0000 0.0000 0.0000
B1 0.5000 0.5000 0.5000
S1 0.0000 0.5000 0.0000
S2 0.5000 0.0000 0.0000
Cl1 0.0000 0.0000 0.5000
```

Entry 8:
ZnRe2BCl | GGA-PBE | relaxed

## Properties
Total energy: -23.38 eV for the cell shown
Magnetization: 0.086 μB/atom
SG: P4/mmm, No. 123

CIF file:
```
data_ZnRe2BCl
_chemical_formula_sum 'Zn1 Re2 B1 Cl1'
_cell_length_a 4.7185
_cell_length_b 4.7185
_cell_length_c 3.6044
_cell_angle_alpha 90.00
_cell_angle_beta 90.00
_cell_angle_gamma 90.00
_symmetry_space_group_name_H-M 'P 1'
_symmetry_Int_Tables_number 1
loop_
_symmetry_equiv_pos_as_xyz
'x,y,z'
loop_
_atom_site_label
_atom_site_fract_x
_atom_site_fract_y
_atom_site_fract_z
Zn1 0.0000 0.0000 0.0000
Re1 0.0000 0.5000 0.0000
Re2 0.5000 0.0000 0.0000
B1 0.0000 0.0000 0.5000
Cl1 0.5000 0.5000 0.5000
```